VASP calculation (PBE) on an optimized crystal structure of Cs2HgHPd.

Fermi-level density of states (states/eV/f.u.): 2.45
Space group: P4/mmm (123)

a = 6.5259 Å, b = 6.5259 Å, c = 3.7189 Å
α = 90.00°, β = 90.00°, γ = 90.00°
Sites, in units of the cell vectors:
H: 0.0000 0.0000 0.0000
Pd: 0.0000 0.0000 0.5000
Hg: 0.5000 0.5000 0.5000
Cs: 0.0000 0.5000 0.0000
Cs: 0.5000 0.0000 0.0000

VASP calculation (PBE) on an optimized crystal structure of Ga2AgSbS6.

Space group: C2/c (15)
Energy relative to the elements, uncorrected (eV per atom): -0.24

a = 6.8938 Å, b = 9.6135 Å, c = 9.6135 Å
α = 89.88°, β = 70.90°, γ = 70.90°
Sites, in units of the cell vectors:
S: 0.0918 0.0140 0.7910
S: 0.4071 0.8616 0.4016
Ag: 0.2500 0.6902 0.3098
S: 0.9082 0.9860 0.2090
Ga: 0.6759 0.2093 0.3498
S: 0.4082 0.2090 0.9860
S: 0.5572 0.6099 0.7206
Ga: 0.8241 0.6502 0.7907
Sb: 0.2500 0.1987 0.8013
Ga: 0.1759 0.3498 0.2093
S: 0.5929 0.1384 0.5984
S: 0.0572 0.7206 0.6099
S: 0.5918 0.7910 0.0140
S: 0.4428 0.3901 0.2794
Sb: 0.7500 0.8013 0.1987
S: 0.9071 0.4016 0.8616
S: 0.0929 0.5984 0.1384
S: 0.9428 0.2794 0.3901
Ga: 0.3241 0.7907 0.6502
Ag: 0.7500 0.3098 0.6902

VASP calculation (PBE) on an optimized crystal structure of Cu2Mo.

Fermi-level density of states (states/eV/f.u.): 2.77
Space group: Cmcm (63)
ΔH_f (0 K) (meV/atom): 338

a = 7.1490 Å, b = 7.1490 Å, c = 4.4964 Å
α = 90.00°, β = 90.00°, γ = 159.55°
Sites, in units of the cell vectors:
Cu: 0.2215 0.7785 0.2500
Mo: 0.8923 0.1077 0.2500
Mo: 0.1077 0.8923 0.7500
Cu: 0.4406 0.5594 0.7500
Cu: 0.5594 0.4406 0.2500
Cu: 0.7785 0.2215 0.7500

VASP calculation (PBE) on an optimized crystal structure of Sm8Co3NiCl4.

Fermi-level density of states (states/eV/f.u.): 6.96
Space group: C2/m (12)
Energy relative to the elements, uncorrected (eV per atom): -0.87

a = 7.8559 Å, b = 8.7204 Å, c = 7.8537 Å
α = 116.79°, β = 120.01°, γ = 90.00°
Sites, in units of the cell vectors:
Sm: 0.2716 0.2996 0.0354
Co: 0.5000 0.5000 0.0000
Sm: 0.7638 0.2995 0.5277
Sm: 0.7339 0.7015 0.4679
Sm: 0.2362 0.7004 0.9646
Sm: 0.7638 0.2996 0.0354
Co: 0.5000 0.5000 0.5000
Cl: 0.0000 0.0000 0.5000
Sm: 0.7284 0.7004 0.9646
Cl: 0.0000 0.0000 0.0000
Cl: 0.5000 0.0000 0.0000
Sm: 0.2362 0.7005 0.4723
Co: 0.0000 0.5000 0.5000
Sm: 0.2661 0.2985 0.5321
Cl: 0.5000 0.0000 0.5000
Ni: 0.0000 0.5000 0.0000

VASP calculation (PBE) on an optimized crystal structure of LiZn2P.

Fermi-level density of states (states/eV/f.u.): 1.21
Space group: Imm2 (44)
ΔH_f (0 K) (meV/atom): -95

a = 4.8377 Å, b = 4.8377 Å, c = 4.8377 Å
α = 133.54°, β = 133.08°, γ = 68.17°
Sites, in units of the cell vectors:
Zn: 0.0020 0.0020 0.0000
P: 0.2471 0.7471 0.5000
Li: 0.4992 0.4992 0.0000
Zn: 0.7516 0.2516 0.5000

VASP calculation (PBE) on an optimized crystal structure of TbHoCdNi.

Fermi-level density of states (states/eV/f.u.): 2.26
Space group: P4mm (99)
ΔH_f (0 K) (meV/atom): -368

a = 3.4501 Å, b = 3.4501 Å, c = 7.6280 Å
α = 90.00°, β = 90.00°, γ = 90.00°
Sites, in units of the cell vectors:
Tb: 0.5000 0.5000 0.7834
Cd: 0.0000 0.0000 0.0750
Ho: 0.5000 0.5000 0.3597
Ni: 0.0000 0.0000 0.5666

VASP calculation (PBE) on an optimized crystal structure of NaTe2IN.

Fermi-level density of states (states/eV/f.u.): 5.87
Space group: P4/mmm (123)
Energy relative to the elements, uncorrected (eV per atom): 1.35

a = 5.7484 Å, b = 5.7484 Å, c = 6.0679 Å
α = 90.00°, β = 90.00°, γ = 90.00°
Each line ends with the local moment (μB).
Sites, in units of the cell vectors:
I: 0.0000 0.0000 0.5000  0.31
Te: 0.0000 0.5000 0.0000  0.49
Te: 0.5000 0.0000 0.0000  0.49
N: 0.5000 0.5000 0.5000  1.91
Na: 0.0000 0.0000 0.0000  0.00

VASP calculation (PBE) on an optimized crystal structure of PtS3O.

Fermi-level density of states (states/eV/f.u.): 9.44
Space group: Pm-3m (221)
Energy relative to the elements, uncorrected (eV per atom): 1.29

a = 4.6543 Å, b = 4.6543 Å, c = 4.6543 Å
α = 90.00°, β = 90.00°, γ = 90.00°
Sites, in units of the cell vectors:
O: 0.5000 0.5000 0.5000
Pt: 0.0000 0.0000 0.0000
S: 0.5000 0.0000 0.0000
S: 0.0000 0.0000 0.5000
S: 0.0000 0.5000 0.0000

How do the records compare in uncorrected energy? In the order shown, they have -11.06; -40.22; -18.01; -86.08; -10.25; -17.38; -10.74; -16.93 eV per formula unit.